(1)
Here is crystalline Ca2ZnPt3 at its relaxed geometry from the Alexandria database. Energies are from PBE.

Cell and atoms, written as extended XYZ:
```
6
Lattice="2.799 1.616 4.168 -2.799 1.616 4.168 0.000 -3.232 4.168" Properties=species:S:1:pos:R:3 pbc="T T T"
Ca 0.000 0.000 1.567
Ca 0.000 0.000 10.936
Zn 0.000 0.000 6.251
Pt -1.399 -0.808 4.168
Pt -1.399 0.808 8.335
Pt 0.000 1.616 4.168
```

Output
**Energy**: -4.820 eV/atom
**Formation energy**: -0.9204 eV/atom

(2)
Here is crystalline LiZrIr2 at its relaxed geometry from the Alexandria database. Energies are from PBE.

Cell and atoms, written as extended XYZ:
```
4
Lattice="2.831 0.000 0.000 0.000 4.166 0.000 -0.915 0.000 5.300" Properties=species:S:1:pos:R:3 pbc="T T T"
Li 0.000 0.000 0.000
Zr 1.160 2.083 1.488
Ir -0.387 0.000 2.823
Ir 0.901 2.083 4.256
```

Output
**Energy**: -7.355 eV/atom
**Formation energy**: -0.3090 eV/atom

(3)
Here is crystalline VAs at its relaxed geometry from the Alexandria database. Energies are from PBE.

Cell and atoms, written as extended XYZ:
```
6
Lattice="3.539 0.000 0.000 0.000 4.414 3.143 0.000 -4.414 3.143" Properties=species:S:1:pos:R:3 pbc="T T T"
V 0.000 0.000 0.000
V 1.770 -2.490 2.938
V 1.770 2.490 2.938
As 0.000 -1.377 4.268
As 0.000 1.377 4.268
As 1.770 0.000 1.744
```

Output
**Energy**: -7.109 eV/atom
**Formation energy**: -0.2249 eV/atom